i | # ScAg3C, optimized geometry, DFT GGA-PBE
# - Fermi-level density of states (states/eV/atom) = 1.194
# - total magnetic moment (μB per formula unit) = 1.66
data_ScAg3C
_chemical_formula_sum 'Sc1 Ag3 C1'
_symmetry_space_group_name_H-M 'P 1'
_symmetry_Int_Tables_number 1
_cell_length_a 5.244
_cell_length_b 5.244
_cell_length_c 5.244
_cell_angle_alpha 90.00
_cell_angle_beta 90.00
_cell_angle_gamma 90.00
loop_
_symmetry_equiv_pos_as_xyz
'x,y,z'
loop_
_atom_site_label
_atom_site_fract_x
_atom_site_fract_y
_atom_site_fract_z
Ag1 0.000 0.000 0.500
Ag2 0.500 0.000 0.000
Sc1 0.000 0.000 0.000
C1 0.500 0.500 0.500
Ag3 0.000 0.500 0.000


ii | # ScAg3C, optimized geometry, DFT GGA-PBE
# - Fermi-level density of states (states/eV/atom) = 0.978
# - total magnetic moment (μB per formula unit) = 0.28
data_ScAg3C
_chemical_formula_sum 'Sc1 Ag3 C1'
_symmetry_space_group_name_H-M 'P 1'
_symmetry_Int_Tables_number 1
_cell_length_a 4.385
_cell_length_b 4.385
_cell_length_c 4.385
_cell_angle_alpha 90.00
_cell_angle_beta 90.00
_cell_angle_gamma 90.00
loop_
_symmetry_equiv_pos_as_xyz
'x,y,z'
loop_
_atom_site_label
_atom_site_fract_x
_atom_site_fract_y
_atom_site_fract_z
Ag1 0.500 0.000 0.000
Ag2 0.000 0.000 0.500
Ag3 0.000 0.500 0.000
Sc1 0.500 0.500 0.500
C1 0.000 0.000 0.000


Most stable to least stable, the ends of the list are ii and i.